1.
Compound: YAg2Sn
Source: Alexandria via LeMat-Bulk
Functional: PBE-GGA
Structure: relaxed

It has space group Pmmn (No. 59, origin choice 2), with a = 4.732 Å, b = 6.202 Å, c = 6.138 Å, α = 90.00°, β = 90.00° and γ = 90.00°. The distinct sites, in fractional coordinates, are Y at (0.250, 0.250, 0.111), Ag at (0.250, 0.508, 0.646) and Sn at (0.250, 0.750, 0.238).

=====

2.
Compound: YAg2Sn
Source: Alexandria via LeMat-Bulk
Functional: PBE-GGA
Structure: relaxed

It has space group P4/mmm (No. 123), with a = 4.455 Å, b = 4.455 Å, c = 4.527 Å, α = 90.00°, β = 90.00° and γ = 90.00°. The distinct sites, in fractional coordinates, are Y at (0.000, 0.000, 0.000), Ag at (0.000, 0.500, 0.500) and Sn at (0.500, 0.500, 0.000).

=====

3.
Compound: YAg6Sn6
Source: Alexandria via LeMat-Bulk
Functional: PBE-GGA
Structure: relaxed

It has space group Immm (No. 71), with a = 5.895 Å, b = 9.664 Å, c = 10.290 Å, α = 90.00°, β = 90.00° and γ = 90.00°. The distinct sites, in fractional coordinates, are Y at (0.000, 0.000, 0.000), Ag at (0.000, 0.245, 0.500), Ag at (0.250, 0.250, 0.250), Sn at (0.000, 0.000, 0.327), Sn at (0.000, 0.345, 0.000) and Sn at (0.000, 0.500, 0.341).

=====

4.
Compound: YAgSn2
Source: Alexandria via LeMat-Bulk
Functional: PBE-GGA
Structure: relaxed

The energy relative to the lowest polymorph listed for this composition comes out at 229 meV per atom.

It has space group Fm-3m (No. 225), with a = 7.345 Å, b = 7.345 Å, c = 7.345 Å, α = 90.00°, β = 90.00° and γ = 90.00°. The distinct sites, in fractional coordinates, are Y at (0.000, 0.000, 0.000), Ag at (0.000, 0.000, 0.500) and Sn at (0.250, 0.250, 0.250).

=====

5.
Compound: Y7Ag2Sn2
Source: Alexandria via LeMat-Bulk
Functional: PBE-GGA
Structure: relaxed

It has space group Cmmm (No. 65), with a = 8.238 Å, b = 11.285 Å, c = 7.176 Å, α = 90.00°, β = 90.00° and γ = 90.00°. The distinct sites, in fractional coordinates, are Y at (0.000, 0.000, 0.000), Y at (0.000, 0.500, 0.249), Y at (0.250, 0.250, 0.269), Ag at (0.000, 0.287, 0.000) and Sn at (0.179, 0.000, 0.500).

=====

6.
Compound: YAg3Sn
Source: Alexandria via LeMat-Bulk
Functional: PBE-GGA
Structure: relaxed

The energy relative to the lowest polymorph listed for this composition comes out at 553 meV per atom.

It has space group Pm-3m (No. 221), with a = 5.419 Å, b = 5.419 Å, c = 5.419 Å, α = 90.00°, β = 90.00° and γ = 90.00°. The distinct sites, in fractional coordinates, are Y at (0.000, 0.000, 0.000), Ag at (0.000, 0.000, 0.500) and Sn at (0.500, 0.500, 0.500).

=====

| no. | formation energy (eV per atom) | total energy (eV per atom) |
| --- | --- | --- |
| 1 | -0.378 | -4.421 |
| 2 | -0.319 | -4.362 |
| 3 | -0.096 | -3.757 |
| 4 | -0.220 | -4.550 |
| 5 | -0.135 | -5.494 |
| 6 | 0.868 | -2.936 |